# CaLaTlPb PBE optimized geometry
# Energy relative to the elements in eV/atom: -0.485
# D(E_F) in states/eV/f.u.: 2.56
# Relative energy among the computed polymorphs in eV/atom: 0.016
data_CaLaTlPb
_chemical_formula_sum 'Ca1 La1 Tl1 Pb1'
_space_group_name_H-M_alt 'P 1'
_space_group_IT_number 1
_cell_length_a 5.6022
_cell_length_b 5.6022
_cell_length_c 5.6022
_cell_angle_alpha 60.00
_cell_angle_beta 60.00
_cell_angle_gamma 60.00
loop_
_space_group_symop_operation_xyz
'x,y,z'
loop_
_atom_site_label
_atom_site_fract_x
_atom_site_fract_y
_atom_site_fract_z
Tl1 0.0000 0.0000 0.0000
Ca1 0.7500 0.7500 0.7500
La1 0.2500 0.2500 0.2500
Pb1 0.5000 0.5000 0.5000

# Dy2Zn3 PBE optimized geometry
# Energy relative to the elements in eV/atom: -0.337
# D(E_F) in states/eV/f.u.: 4.78
data_Dy2Zn3
_chemical_formula_sum 'Dy4 Zn6'
_space_group_name_H-M_alt 'P 1'
_space_group_IT_number 1
_cell_length_a 3.5714
_cell_length_b 4.4730
_cell_length_c 13.5585
_cell_angle_alpha 90.00
_cell_angle_beta 97.57
_cell_angle_gamma 90.00
loop_
_space_group_symop_operation_xyz
'x,y,z'
loop_
_atom_site_label
_atom_site_fract_x
_atom_site_fract_y
_atom_site_fract_z
Zn1 0.1705 0.7500 0.3411
Zn2 0.8295 0.2500 0.6589
Zn3 0.0231 0.2500 0.0463
Zn4 0.9769 0.7500 0.9537
Dy1 0.4275 0.2500 0.8551
Dy2 0.7092 0.2500 0.4184
Zn5 0.8821 0.7500 0.7641
Zn6 0.1179 0.2500 0.2359
Dy3 0.2908 0.7500 0.5816
Dy4 0.5725 0.7500 0.1449

# Hg2Ir PBE optimized geometry
# Energy relative to the elements in eV/atom: 0.547
# D(E_F) in states/eV/f.u.: 2.77
data_Hg2Ir
_chemical_formula_sum 'Hg4 Ir2'
_space_group_name_H-M_alt 'P 1'
_space_group_IT_number 1
_cell_length_a 5.7060
_cell_length_b 5.7060
_cell_length_c 5.7060
_cell_angle_alpha 54.16
_cell_angle_beta 54.16
_cell_angle_gamma 54.16
loop_
_space_group_symop_operation_xyz
'x,y,z'
loop_
_atom_site_label
_atom_site_fract_x
_atom_site_fract_y
_atom_site_fract_z
Hg1 0.1772 0.8228 0.5000
Hg2 0.8228 0.5000 0.1772
Ir1 0.6753 0.6753 0.6753
Hg3 0.5000 0.1772 0.8228
Hg4 0.0000 0.0000 0.0000
Ir2 0.3247 0.3247 0.3247

Calculated volume: 31.08 21.47 18.91 (Å³ per atom)